# CdGeW | OQMD | GGA-PBE | optimized geometry
# **Energy**: -5.1994 eV per atom
data_CdGeW
_chemical_formula_sum 'Cd4 Ge4 W4'
_space_group_name_H-M_alt 'F -4 3 m'
_space_group_IT_number 216
_space_group_name_Hall 'F -4 2 3'
_cell_length_a 6.3153
_cell_length_b 6.3153
_cell_length_c 6.3153
_cell_angle_alpha 90.00
_cell_angle_beta 90.00
_cell_angle_gamma 90.00
loop_
_atom_site_label
_atom_site_fract_x
_atom_site_fract_y
_atom_site_fract_z
Cd1 0.0000 0.0000 0.0000
Ge1 0.0000 0.0000 0.5000
W1 0.2500 0.2500 0.2500